Compound: MnSnHg
Source: Alexandria
Functional: GGA-PBE
Structure: optimized geometry

The energy is -4.310 eV/atom. The energy of formation comes out at 0.181 eV/atom.

The space group is P4/nmm (No. 129, origin choice 2) and the conventional cell measures 2.9808, 2.9808 and 14.7089 Å, with angles of 90.00, 90.00 and 90.00 degrees. The distinct sites, in fractional coordinates, are Mn at (0.2500, 0.2500, 0.0371), Sn at (0.2500, 0.2500, 0.8303) and Hg at (0.2500, 0.2500, 0.3855).


Compound: SiHgMo
Source: Alexandria
Functional: GGA-PBE
Structure: optimized geometry

The energy is -4.990 eV/atom. For the uncorrected formation energy, the calculation gives 0.5285 eV per atom.

The space group is I4mm (No. 107) and the conventional cell measures 2.8054, 2.8054 and 13.7494 Å, with angles of 90.00, 90.00 and 90.00 degrees. The distinct sites, in fractional coordinates, are Si at (0.0000, 0.0000, 0.0000), Hg at (0.0000, 0.0000, 0.3031) and Mo at (0.0000, 0.0000, 0.6333).


Compound: CaZrS2O8
Source: Alexandria
Functional: GGA-PBE
Structure: optimized geometry

The energy is -6.662 eV/atom. For the uncorrected formation energy, the calculation gives -1.7897 eV per atom.

The space group is P-3 (No. 147) and the conventional cell measures 5.1757, 5.1757 and 7.2875 Å, with angles of 90.00, 90.00 and 120.00 degrees. The distinct sites, in fractional coordinates, are Ca at (0.0000, 0.0000, 0.0000), Zr at (0.0000, 0.0000, 0.5000), S at (0.3333, 0.6667, 0.7965), O at (0.1745, 0.3514, 0.7299) and O at (0.3333, 0.6667, 0.9982).


Compound: Cs2CuC2O6
Source: Alexandria
Functional: GGA-PBE
Structure: optimized geometry

The energy is -6.360 eV/atom. For the uncorrected formation energy, the calculation gives -1.4505 eV per atom.

The space group is C2/m (No. 12) and the conventional cell measures 12.9719, 4.9805 and 7.1117 Å, with angles of 90.00, 119.32 and 90.00 degrees. The distinct sites, in fractional coordinates, are Cs at (0.1884, 0.0000, 0.1920), Cu at (0.0000, 0.0000, 0.5000), C at (0.0005, 0.5000, 0.3005), O at (0.0606, 0.2766, 0.7277) and O at (0.1077, 0.5000, 0.3452).